Crystalline BeRuC3 at its relaxed geometry, computed with PBE-GGA.

Cell and atoms, written as POSCAR:
```
BeRuC3
1.0
3.961 0.000 0.000
0.000 3.961 0.000
0.000 0.000 3.961
C Be Ru
3 1 1
Direct
0.500 0.000 0.000
0.000 0.500 0.000
0.000 0.000 0.500
0.500 0.500 0.500
0.000 0.000 0.000
```

Summary:
Magnetic moment ... 0.0 μB/f.u.
ΔH_f (0 K) ... 2399 meV/atom
ΔE to the lowest computed polymorph ... 0.36 eV per formula unit
Total energy ... -5.736 eV/atom